# MgCo2PtF PBE with a Hubbard U optimized geometry
# DOS(E_F): 3.36 states/eV per cell
# relative energy among the computed polymorphs: 0.112 eV per atom
data_MgCo2PtF
_chemical_formula_sum 'Mg1 Co2 Pt1 F1'
_cell_length_a 4.8666
_cell_length_b 4.8666
_cell_length_c 4.2300
_cell_angle_alpha 90.00
_cell_angle_beta 90.00
_cell_angle_gamma 90.00
_space_group_name_H-M_alt 'P 1'
_space_group_IT_number 1
loop_
_space_group_symop_operation_xyz
'x,y,z'
loop_
_atom_site_label
_atom_site_type_symbol
_atom_site_fract_x
_atom_site_fract_y
_atom_site_fract_z
_atom_site_occupancy
Mg1 Mg 0.0000 0.0000 0.0000 1
Co1 Co 0.0000 0.5000 0.5000 1
Co2 Co 0.5000 0.0000 0.5000 1
Pt1 Pt 0.5000 0.5000 0.5000 1
F1 F 0.5000 0.5000 0.0000 1